(1)
Here is an optimized crystal structure of Cs2Cu2PbF6 from Alexandria via LeMat-Bulk. Energies are from PBE-GGA.

a = 11.8493 Å, b = 6.4205 Å, c = 7.2614 Å
α = 90.00°, β = 122.91°, γ = 90.00°
Closest atoms and distances in Å follow each position.
Space group C2/m (No. 12)
Inequivalent atoms, fractional coordinates:
Cs  0.2212  0.0000  0.1925  7 F 3.03-3.33
Cu  0.0618  0.5000  0.2107  3 F 1.94-2.03
Pb  0.0000  0.0000  0.5000  6 F 2.46-2.48
F  0.0454  0.2574  0.7827  1 Cu 2.03
F  0.2459  0.0000  0.6638  1 Cu 1.94

## Properties
E_tot: -4.25 eV per atom
formation energy (no corrections): -1.990 eV per atom


(2)
Here is an optimized crystal structure of YTc2C from Alexandria via LeMat-Bulk. Energies are from PBE-GGA.

a = 5.9329 Å, b = 5.9329 Å, c = 8.7386 Å
α = 90.00°, β = 90.00°, γ = 90.00°
Closest atoms and distances in Å follow each position.
Space group I-42d (No. 122)
Inequivalent atoms, fractional coordinates:
Y  0.0000  0.0000  0.0000  4 Tc 3.12
Tc  0.0760  0.2500  0.6250  2 C 1.90
C  0.0000  0.0000  0.5000  4 Tc 1.90

## Properties
DFT formation energy: 0.508 eV per atom
E_tot: -8.60 eV per atom
DOS(E_F): 13.55 states/eV per cell


(3)
Here is an optimized crystal structure of NaPt from Alexandria via LeMat-Bulk. Energies are from PBE-GGA.

a = 2.8379 Å, b = 14.1083 Å, c = 5.1399 Å
α = 90.00°, β = 90.00°, γ = 90.00°
Closest atoms and distances in Å follow each position.
Space group Pmmn (No. 59, origin choice 2)
Inequivalent atoms, fractional coordinates:
Na  0.2500  0.0838  0.0714  6 Na 2.83-2.85, 6 Pt 2.92-3.06
Na  0.2500  0.7500  0.7944  6 Na 2.83-2.84, 6 Pt 2.86-3.03
Pt  0.2500  0.2500  0.6877  6 Pt 2.82-2.84, 6 Na 2.86-3.06
Pt  0.2500  0.5820  0.4256  6 Pt 2.82-2.84, 6 Na 2.92-3.03

## Properties
DFT formation energy: -0.182 eV per atom
E_tot: -3.86 eV per atom
DOS(E_F): 3.66 states/eV per cell


(4)
Here is an optimized crystal structure of Sr2BePb from Alexandria via LeMat-Bulk. Energies are from PBE-GGA.

a = 8.7453 Å, b = 8.7453 Å, c = 7.2122 Å
α = 90.00°, β = 90.00°, γ = 90.00°
Closest atoms and distances in Å follow each position.
Space group I-42d (No. 122)
Inequivalent atoms, fractional coordinates:
Sr  0.2180  0.2500  0.1250  2 Be 3.04
Be  0.0000  0.0000  0.0000  4 Sr 3.04
Pb  0.0000  0.0000  0.5000  4 Sr 3.42, 2 Be 3.61

## Properties
DFT formation energy: 0.337 eV per atom
E_tot: -2.36 eV per atom
DOS(E_F): 16.76 states/eV per cell


(5)
Here is an optimized crystal structure of Pm5Nd6Sc2 from Alexandria via LeMat-Bulk. Energies are from PBE-GGA.

a = 10.9085 Å, b = 22.8637 Å, c = 3.5357 Å
α = 90.00°, β = 90.00°, γ = 90.00°
Closest atoms and distances in Å follow each position.
Space group Pbam (No. 55)
Inequivalent atoms, fractional coordinates:
Pm  0.0000  0.0000  0.0000  4 Pm 3.54-3.64, 6 Nd 3.55-3.66
Pm  0.0844  0.2513  0.0000  4 Sc 3.28, 2 Pm 3.54, 4 Nd 3.60-3.62
Pm  0.1665  0.5059  0.0000  4 Pm 3.54-3.64, 7 Nd 3.59-3.79
Nd  0.0266  0.3865  0.5000  1 Sc 3.38, 2 Nd 3.54, 6 Pm 3.59-3.69
Nd  0.1405  0.1169  0.5000  1 Sc 3.33, 2 Nd 3.54, 4 Pm 3.55-3.60
Nd  0.1660  0.8608  0.0000  2 Sc 3.48, 6 Nd 3.54-3.84, 4 Pm 3.66-3.79
Sc  0.1659  0.7296  0.5000  4 Pm 3.28, 4 Nd 3.33-3.48, 2 Sc 3.54

## Properties
DFT formation energy: 0.140 eV per atom
E_tot: -4.86 eV per atom
DOS(E_F): 37.43 states/eV per cell


(6)
Here is an optimized crystal structure of BW2Se from Alexandria via LeMat-Bulk. Energies are from PBE-GGA.

a = 3.0864 Å, b = 3.0864 Å, c = 6.1456 Å
α = 90.00°, β = 90.00°, γ = 90.00°
Closest atoms and distances in Å follow each position.
Space group P4mm (No. 99)
Inequivalent atoms, fractional coordinates:
B  0.0000  0.0000  0.0000  5 W 2.20-2.27
W  0.0000  0.0000  0.3687  1 B 2.27
W  0.5000  0.5000  0.0450  4 B 2.20
Se  0.5000  0.5000  0.6081  5 W 2.63-2.68

## Properties
E_tot: -9.02 eV per atom
DOS(E_F): 2.42 states/eV per cell
formation energy (no corrections): 0.000 eV per atom


(7)
Here is an optimized crystal structure of Ba3CaI from Alexandria via LeMat-Bulk. Energies are from PBE-GGA.

a = 6.6953 Å, b = 6.6953 Å, c = 6.6953 Å
α = 90.00°, β = 90.00°, γ = 90.00°
Closest atoms and distances in Å follow each position.
Space group Pm-3m (No. 221)
Inequivalent atoms, fractional coordinates:
Ba  0.0000  0.0000  0.5000  2 I 3.35
Ca  0.5000  0.5000  0.5000  12 Ba 4.73
I  0.0000  0.0000  0.0000  6 Ba 3.35

## Properties
E_tot: -2.18 eV per atom
DOS(E_F): 9.68 states/eV per cell
formation energy (no corrections): -0.312 eV per atom


(8)
Here is an optimized crystal structure of Ti2Mn3Al2 from Alexandria via LeMat-Bulk. Energies are from PBE-GGA.

a = 7.4144 Å, b = 4.2704 Å, c = 6.9851 Å
α = 90.00°, β = 110.54°, γ = 90.00°
Closest atoms and distances in Å follow each position.
Space group C2/m (No. 12)
Inequivalent atoms, fractional coordinates:
Ti  0.1175  0.0000  0.3530  7 Mn 2.45-2.66
Mn  0.0000  0.5000  0.5000  2 Al 2.55, 6 Ti 2.65-2.66
Mn  0.2419  0.0000  0.7271  4 Ti 2.45-2.52, 4 Al 2.51-2.70
Al  0.1297  0.5000  0.8896  5 Mn 2.51-2.70

## Properties
DFT formation energy: -0.121 eV per atom
E_tot: -7.38 eV per atom
DOS(E_F): 12.46 states/eV per cell


(9)
Here is an optimized crystal structure of Pr8Te4As3S from Alexandria via LeMat-Bulk. Energies are from PBE-GGA.

a = 8.6799 Å, b = 8.6799 Å, c = 22.1755 Å
α = 90.00°, β = 90.00°, γ = 120.00°
Closest atoms and distances in Å follow each position.
Space group R-3m (No. 166, hexagonal axes)
Inequivalent atoms, fractional coordinates:
Pr  0.0000  0.0000  0.2403  3 As 2.99, 3 Te 3.25
Pr  0.0026  0.5013  0.2390  1 S 2.96, 2 As 2.98, 3 Te 3.26-3.28
Te  0.0000  0.0000  0.0000  6 Pr 3.28
Te  0.0000  0.5000  0.0000  6 Pr 3.25-3.26
As  0.0000  0.5000  0.5000  6 Pr 2.98-2.99
S  0.0000  0.0000  0.5000  6 Pr 2.96

## Properties
E_tot: -5.90 eV per atom
DOS(E_F): 24.24 states/eV per cell
formation energy (no corrections): -1.592 eV per atom


(10)
Here is an optimized crystal structure of Li2HgAs from Alexandria via LeMat-Bulk. Energies are from PBE-GGA.

a = 4.5615 Å, b = 3.0409 Å, c = 10.4917 Å
α = 90.00°, β = 90.00°, γ = 90.00°
Closest atoms and distances in Å follow each position.
Space group Amm2 (No. 38)
Inequivalent atoms, fractional coordinates:
Li  0.0000  0.0000  0.0000  3 As 2.73-2.94, 4 Hg 2.81, 2 Li 3.04
Li  0.5000  0.0000  0.3021  3 Hg 2.71-2.96, 4 As 2.82
Hg  0.5000  0.0000  0.5604  7 Li 2.71-2.96, 2 As 2.96
As  0.0000  0.0000  0.7400  7 Li 2.73-2.94, 2 Hg 2.96, 2 As 3.04

## Properties
DFT formation energy: -0.397 eV per atom
E_tot: -2.59 eV per atom
DOS(E_F): 1.19 states/eV per cell


(11)
Here is an optimized crystal structure of LiReOs4 from Alexandria via LeMat-Bulk. Energies are from PBE-GGA.

a = 7.2005 Å, b = 7.2005 Å, c = 7.2005 Å
α = 90.00°, β = 90.00°, γ = 90.00°
Closest atoms and distances in Å follow each position.
Space group F-43m (No. 216)
Inequivalent atoms, fractional coordinates:
Li  0.0000  0.0000  0.0000  12 Os 2.98, 4 Re 3.12
Re  0.2500  0.2500  0.7500  12 Os 2.99, 4 Li 3.12
Os  0.1255  0.1255  0.3745  6 Os 2.54-2.56

## Properties
DFT formation energy: 0.627 eV per atom
E_tot: -9.25 eV per atom
DOS(E_F): 27.56 states/eV per cell


(12)
Here is an optimized crystal structure of Tb2Sm3Er7 from Alexandria via LeMat-Bulk. Energies are from PBE-GGA.

a = 6.0620 Å, b = 5.6006 Å, c = 12.1346 Å
α = 90.00°, β = 94.95°, γ = 90.00°
Closest atoms and distances in Å follow each position.
Space group P2/m (No. 10)
Inequivalent atoms, fractional coordinates:
Tb  0.1383  0.0000  0.2892  6 Er 3.22-3.53, 3 Sm 3.46-3.54
Sm  0.0000  0.0000  0.0000  6 Er 3.27-3.53, 2 Tb 3.54
Sm  0.4714  0.5000  0.3230  6 Er 3.45-3.57, 2 Tb 3.46
Er  0.0470  0.5000  0.8266  2 Tb 3.29, 3 Er 3.31-3.54, 4 Sm 3.49-3.57
Er  0.2734  0.0000  0.5597  3 Er 3.21-3.50, 2 Tb 3.22-3.31, 2 Sm 3.45
Er  0.4068  0.0000  0.8401  3 Sm 3.27-3.54, 2 Tb 3.29-3.53, 5 Er 3.43-3.54
Er  0.5000  0.5000  0.0000  6 Er 3.31-3.43

## Properties
DFT formation energy: 0.310 eV per atom
E_tot: -4.30 eV per atom
DOS(E_F): 18.95 states/eV per cell


(13)
Here is an optimized crystal structure of PIrSe2 from Alexandria via LeMat-Bulk. Energies are from PBE-GGA.

a = 4.4444 Å, b = 4.4444 Å, c = 6.6877 Å
α = 90.00°, β = 90.00°, γ = 90.00°
Closest atoms and distances in Å follow each position.
Space group I-4m2 (No. 119)
Inequivalent atoms, fractional coordinates:
P  0.0000  0.0000  0.0000  4 Se 2.78, 4 Ir 2.78
Ir  0.0000  0.5000  0.7500  4 Se 2.78, 4 P 2.78
Se  0.0000  0.0000  0.5000  4 Se 2.78, 4 Ir 2.78
Se  0.0000  0.5000  0.2500  4 Se 2.78, 4 P 2.78

## Properties
E_tot: -4.63 eV per atom
DOS(E_F): 3.91 states/eV per cell
formation energy (no corrections): 0.676 eV per atom


(14)
Here is an optimized crystal structure of Zr2TaMn from Alexandria via LeMat-Bulk. Energies are from PBE-GGA.

a = 3.1393 Å, b = 3.1393 Å, c = 26.4481 Å
α = 90.00°, β = 90.00°, γ = 120.00°
Closest atoms and distances in Å follow each position.
Space group R-3m (No. 166, hexagonal axes)
Inequivalent atoms, fractional coordinates:
Zr  0.0000  0.0000  0.2398  3 Mn 2.65
Ta  0.0000  0.0000  0.0000  6 Zr 3.07, 6 Ta 3.14
Mn  0.0000  0.0000  0.5000  6 Zr 2.65

## Properties
DFT formation energy: 0.283 eV per atom
E_tot: -9.25 eV per atom
DOS(E_F): 17.07 states/eV per cell


(15)
Here is an optimized crystal structure of CeTm4Tl7 from Alexandria via LeMat-Bulk. Energies are from PBE-GGA.

a = 13.3118 Å, b = 5.7686 Å, c = 11.3618 Å
α = 90.00°, β = 123.97°, γ = 90.00°
Closest atoms and distances in Å follow each position.
Space group C2/m (No. 12)
Inequivalent atoms, fractional coordinates:
Ce  0.0000  0.0000  0.0000  2 Tl 2.88
Tm  0.0835  0.5000  0.7820  8 Tl 3.11-3.40
Tm  0.2188  0.5000  0.3271  8 Tl 3.13-3.45, 1 Tm 3.49
Tl  0.0000  0.5000  0.0000  2 Ce 2.88, 2 Tm 3.19
Tl  0.0797  0.0000  0.3330  4 Tl 3.22-3.58, 5 Tm 3.25-3.45, 1 Ce 3.31
Tl  0.1364  0.5000  0.5482  5 Tm 3.11-3.32, 2 Tl 3.15-3.22
Tl  0.2126  0.0000  0.8955  4 Tm 3.11-3.23, 2 Tl 3.26-3.31

## Properties
DFT formation energy: -0.042 eV per atom
E_tot: -3.41 eV per atom
DOS(E_F): 26.97 states/eV per cell


(16)
Here is an optimized crystal structure of AsSIBr2 from Alexandria via LeMat-Bulk. Energies are from PBE-GGA.

a = 4.8670 Å, b = 4.8670 Å, c = 5.9390 Å
α = 90.00°, β = 90.00°, γ = 90.00°
Closest atoms and distances in Å follow each position.
Space group P4/mmm (No. 123)
Inequivalent atoms, fractional coordinates:
As  0.0000  0.0000  0.0000  2 S 2.97
S  0.0000  0.0000  0.5000  4 Br 2.43
I  0.5000  0.5000  0.0000  4 As 3.44, 8 Br 3.84
Br  0.0000  0.5000  0.5000  2 S 2.43

## Properties
E_tot: -2.26 eV per atom
DOS(E_F): 2.82 states/eV per cell
formation energy (no corrections): 0.473 eV per atom


(17)
Here is an optimized crystal structure of BaNiSe2 from Alexandria via LeMat-Bulk. Energies are from PBE-GGA.

a = 4.1783 Å, b = 4.1783 Å, c = 19.8692 Å
α = 90.00°, β = 90.00°, γ = 120.00°
Closest atoms and distances in Å follow each position.
Space group R-3m (No. 166, hexagonal axes)
Inequivalent atoms, fractional coordinates:
Ba  0.0000  0.0000  0.0000  6 Se 3.22
Ni  0.0000  0.0000  0.5000  6 Se 2.69
Se  0.0000  0.0000  0.2264  3 Ni 2.69

## Properties
E_tot: -4.46 eV per atom
DOS(E_F): 2.03 states/eV per cell
formation energy (no corrections): -0.787 eV per atom


(18)
Here is an optimized crystal structure of PmTm6Pu from Alexandria via LeMat-Bulk. Energies are from PBE-GGA.

a = 5.5995 Å, b = 7.0723 Å, c = 12.2597 Å
α = 90.00°, β = 90.00°, γ = 90.00°
Closest atoms and distances in Å follow each position.
Space group Amm2 (No. 38)
Inequivalent atoms, fractional coordinates:
Pm  0.0000  0.0000  0.0000  2 Pu 3.45, 10 Tm 3.48-3.59
Tm  0.0000  0.0000  0.5033  10 Tm 3.47-3.55, 2 Pm 3.54
Tm  0.0000  0.2460  0.7534  2 Pu 3.45, 8 Tm 3.46-3.59, 2 Pm 3.49-3.59
Tm  0.5000  0.0000  0.3362  10 Tm 3.47-3.56, 2 Pu 3.54
Tm  0.5000  0.2504  0.0880  8 Tm 3.46-3.56, 2 Pm 3.48, 2 Pu 3.51-3.56
Pu  0.5000  0.0000  0.8359  2 Pm 3.45, 10 Tm 3.45-3.56

## Properties
DFT formation energy: 0.056 eV per atom
E_tot: -5.68 eV per atom
DOS(E_F): 38.85 states/eV per cell


(19)
Here is an optimized crystal structure of RbBa2PdW from Alexandria via LeMat-Bulk. Energies are from PBE-GGA.

a = 6.2035 Å, b = 6.2035 Å, c = 4.9891 Å
α = 90.00°, β = 90.00°, γ = 90.00°
Closest atoms and distances in Å follow each position.
Space group P4/mmm (No. 123)
Inequivalent atoms, fractional coordinates:
Rb  0.0000  0.0000  0.0000  2 W 2.49
Ba  0.0000  0.5000  0.0000  2 Rb 3.10
Pd  0.5000  0.5000  0.5000  8 Ba 3.98, 4 W 4.39
W  0.0000  0.0000  0.5000  2 Rb 2.49

## Properties
DFT formation energy: 1.916 eV per atom
E_tot: -2.68 eV per atom
DOS(E_F): 4.67 states/eV per cell


(20)
Here is an optimized crystal structure of Ac2Pr2Sn2H from Alexandria via LeMat-Bulk. Energies are from PBE-GGA.

a = 4.8822 Å, b = 4.8822 Å, c = 18.1535 Å
α = 90.00°, β = 90.00°, γ = 90.00°
Closest atoms and distances in Å follow each position.
Space group I4/mmm (No. 139)
Inequivalent atoms, fractional coordinates:
Ac  0.0000  0.0000  0.1792  1 H 3.25, 5 Sn 3.46-3.56
Pr  0.0000  0.5000  0.0000  2 H 2.44
Sn  0.0000  0.0000  0.3698  4 Pr 3.40, 5 Ac 3.46-3.56
H  0.0000  0.0000  0.0000  4 Pr 2.44

## Properties
E_tot: -4.77 eV per atom
DOS(E_F): 15.43 states/eV per cell


Respective theoretical density values: 5.11, 6.41, 10.56, 4.71, 6.33, 12.98, 3.20, 5.04, 6.52, 6.60, 16.97, 7.85, 9.58, 9.23, 10.31, 4.65, 5.87, 9.59, 5.62, 7.48 g cm⁻³.